ZrFeSe3 | PBE-GGA | optimized geometry

Results
energy above the most stable polymorph in this dataset = 0 meV/atom
formation energy without anion corrections = -0.004 eV/atom
energy = -27.48 eV for the cell shown
space-group type = Pm-3m
crystal system = cubic
density of states at the Fermi level = 6.9 states/eV/f.u.

The structure in extended XYZ format:
```
5
Lattice="4.664 0.000 0.000 0.000 4.664 0.000 0.000 0.000 4.664" Properties=species:S:1:pos:R:3 pbc="T T T"
Zr 0.000 0.000 0.000
Fe 2.332 2.332 2.332
Se 0.000 2.332 2.332
Se 2.332 0.000 2.332
Se 2.332 2.332 0.000
```